# PBE-GGA ZrFeSi, optimized geometry
data_ZrFeSi
_chemical_formula_sum 'Zr4 Fe4 Si4'
_cell_length_a 6.453
_cell_length_b 4.005
_cell_length_c 6.942
_cell_angle_alpha 90.00
_cell_angle_beta 90.00
_cell_angle_gamma 90.00
_space_group_name_H-M_alt 'P n m a'
_space_group_IT_number 62
_space_group_name_Hall '-P 2ac 2n'
loop_
_atom_site_label
_atom_site_type_symbol
_atom_site_fract_x
_atom_site_fract_y
_atom_site_fract_z
_atom_site_occupancy
Zr1 Zr 0.009 0.250 0.197 1
Fe1 Fe 0.154 0.750 0.436 1
Si1 Si 0.207 0.250 0.605 1
# E_form (uncorrected) (eV per atom): -0.757